Entry 1:
Material: BaPu2AlP4
Method: DFT, PBE
State: relaxed

abc: 7.269 7.269 13.651
angles: 90.00 90.00 147.44
Atoms (fractional coordinates):
Ba  0.111  0.889  0.750
Ba  0.889  0.111  0.250
Pu  0.370  0.630  0.554
Pu  0.370  0.630  0.946
Pu  0.630  0.370  0.054
Pu  0.630  0.370  0.446
Al  0.161  0.839  0.250
Al  0.839  0.161  0.750
P  0.000  0.000  0.000
P  0.000  0.000  0.500
P  0.258  0.742  0.110
P  0.258  0.742  0.390
P  0.432  0.568  0.750
P  0.568  0.432  0.250
P  0.742  0.258  0.610
P  0.742  0.258  0.890

Properties
- energy of formation from the pure elements (eV/atom) = -0.964
- space-group type = Cmcm, No. 63
- crystal system = orthorhombic

Entry 2:
Material: BaAlPRh
Method: DFT, PBE
State: relaxed

abc: 3.961 3.961 12.376
angles: 90.00 90.00 90.00
Atoms (fractional coordinates):
Ba  0.250  0.250  0.245
Ba  0.750  0.750  0.755
Al  0.250  0.750  0.500
Al  0.750  0.250  0.500
P  0.250  0.250  0.894
P  0.750  0.750  0.106
Rh  0.250  0.750  0.000
Rh  0.750  0.250  0.000

Properties
- energy of formation from the pure elements (eV/atom) = -0.594
- space-group type = P4/nmm, No. 129
- crystal system = tetragonal

Entry 3:
Material: BaAlPS6
Method: DFT, PBE
State: relaxed

abc: 5.912 5.912 7.273
angles: 90.00 90.00 120.00
Atoms (fractional coordinates):
Ba  0.000  0.000  0.000
Al  0.333  0.667  0.500
P  0.667  0.333  0.500
S  0.378  0.018  0.686
S  0.378  0.360  0.314
S  0.640  0.018  0.314
S  0.640  0.622  0.686
S  0.982  0.360  0.686
S  0.982  0.622  0.314

Properties
- raw total energy (eV/cell) = -40.583
- space-group type = P312, No. 149
- crystal system = trigonal

Entry 4:
Material: BaAlP2S8
Method: DFT, PBE
State: relaxed

abc: 5.929 5.929 8.850
angles: 90.00 90.00 120.00
Atoms (fractional coordinates):
Ba  0.000  0.000  0.000
Al  0.000  0.000  0.500
P  0.333  0.667  0.730
P  0.667  0.333  0.270
S  0.001  0.322  0.671
S  0.321  0.999  0.671
S  0.322  0.321  0.329
S  0.333  0.667  0.960
S  0.667  0.333  0.040
S  0.678  0.679  0.671
S  0.679  0.001  0.329
S  0.999  0.678  0.329

Properties
- raw total energy (eV/cell) = -57.108
- space-group type = P-3, No. 147
- crystal system = trigonal